Computed, not measured: a relaxed TaMnTl2 crystal at the PBE-GGA level of DFT.

Cell lengths 3.1813, 3.2006, 8.5371 Å; angles 90.00, 100.64, 90.00 degrees
Last column: nearest neighbours and their distance in Å.
Fractional coordinates of all 4 atoms:
Ta 0.0000 0.0000 0.0000  4 Mn 2.54
Mn 0.4322 0.5000 0.8611  4 Ta 2.54
Tl 0.6353 0.5000 0.2748  6 Tl 3.18-3.29, 4 Ta 3.22-3.23, 1 Mn 3.47
Tl 0.8139 0.0000 0.6168  4 Mn 3.04-3.05, 6 Tl 3.18-3.29, 1 Ta 3.21

Values from the calculation:
Polymorph energy (0 for the lowest one) in meV per atom: 0
Formation enthalpy at 0 K in meV per atom: 401